(1)
Compound: Tb5TlSn2
Source: Alexandria via LeMat-Bulk
Functional: GGA-PBE
Structure: relaxed

Lattice parameters (Å, degrees): 6.8870 6.8870 9.3586 90.00 90.00 90.00
Space group I4/mmm (No. 139)
Unique sites:
Tb 0.0000 0.0000 0.0000 x2
Tb 0.2500 0.2500 0.2500 x8
Tl 0.0000 0.0000 0.5000 x2
Sn 0.0000 0.5000 0.0000 x4

## Properties
- Formation energy from the elements: -426.9 meV/atom
- Crystal system: tetragonal


(2)
Compound: Ho7Pb2C2
Source: Alexandria via LeMat-Bulk
Functional: GGA-PBE
Structure: relaxed

Lattice parameters (Å, degrees): 3.4953 14.8692 10.4043 90.00 90.00 90.00
Space group Imm2 (No. 44)
Unique sites:
Ho 0.0000 0.0000 0.0000 x2
Ho 0.0000 0.1418 0.4395 x4
Ho 0.0000 0.3098 0.6239 x4
Ho 0.0000 0.3409 0.3187 x4
Pb 0.0000 0.0000 0.6783 x2
Pb 0.0000 0.5000 0.7660 x2
C 0.0000 0.2367 0.9533 x4

## Properties
- Formation energy from the elements: -193.8 meV/atom
- Crystal system: orthorhombic


(3)
Compound: YAs3Cl
Source: Alexandria via LeMat-Bulk
Functional: GGA-PBE
Structure: relaxed

Lattice parameters (Å, degrees): 4.8776 4.8776 4.8776 90.00 90.00 90.00
Space group Pm-3m (No. 221)
Unique sites:
Y 0.0000 0.0000 0.0000 x1
As 0.0000 0.5000 0.5000 x3
Cl 0.5000 0.5000 0.5000 x1

## Properties
- Relative energy among the computed polymorphs: 0 meV/atom
- Crystal system: cubic


(4)
Compound: La2CoHg
Source: Alexandria via LeMat-Bulk
Functional: GGA-PBE
Structure: relaxed

Lattice parameters (Å, degrees): 7.1438 7.1438 7.1438 90.00 90.00 90.00
Space group F-43m (No. 216)
Unique sites:
La 0.0000 0.0000 0.0000 x4
La 0.2500 0.2500 0.2500 x4
Co 0.0000 0.0000 0.5000 x4
Hg 0.2500 0.2500 0.7500 x4

## Properties
- Formation energy from the elements: -11.5 meV/atom
- Crystal system: cubic


| no. | magnetization (μB/cell) |
| --- | --- |
| 1 | 0.0 |
| 2 | 0.0 |
| 3 | 0.0 |
| 4 | 1.4 |